Entry 1:
Density functional theory data (meta-GGA SCAN) for a PBEsol-optimized structure of Cd2AgMo. Values from VASP.

Cell and atoms, written as Quantum ESPRESSO input:
```
&SYSTEM
  ibrav = 0, nat = 4, ntyp = 3
/
ATOMIC_SPECIES
Cd 112.41 Cd.upf
Ag 107.87 Ag.upf
Mo 95.94 Mo.upf
CELL_PARAMETERS angstrom
4.188 0.000 0.000
0.000 4.188 0.000
0.000 0.000 3.993
ATOMIC_POSITIONS angstrom
Cd 0.000 2.094 0.000
Cd 2.094 0.000 0.000
Ag 0.000 0.000 1.996
Mo 2.094 2.094 1.996
```

Output
- volume (Å³ per cell) = 70.03
- formation energy from the elements (eV/atom) = 0.431

Entry 2:
Density functional theory data (meta-GGA SCAN) for a PBEsol-optimized structure of KCeP4O12. Values from VASP.

Cell and atoms, written as Quantum ESPRESSO input:
```
&SYSTEM
  ibrav = 0, nat = 36, ntyp = 4
/
ATOMIC_SPECIES
K 39.10 K.upf
Ce 140.12 Ce.upf
P 30.97 P.upf
O 16.00 O.upf
CELL_PARAMETERS angstrom
7.328 0.000 0.000
0.000 8.519 0.000
-0.265 0.000 8.044
ATOMIC_POSITIONS angstrom
K 1.618 0.000 2.261
K 5.445 4.259 5.783
Ce 1.740 2.727 6.095
Ce 5.323 6.987 1.949
P 0.258 8.038 7.255
P 0.777 4.874 3.189
P 2.691 6.319 7.197
P 3.496 8.253 4.975
P 3.567 3.993 3.069
P 4.372 2.059 0.847
P 6.286 0.615 4.855
P 6.805 3.778 0.789
O 0.168 6.186 2.815
O 0.255 3.722 2.191
O 0.184 3.499 7.725
O 0.641 4.368 4.589
O 1.112 0.733 7.445
O 1.153 6.725 7.010
O 2.326 4.962 2.778
O 2.260 0.580 4.923
O 2.842 4.953 6.611
O 3.377 6.577 0.569
O 3.296 3.133 4.267
O 3.530 3.108 1.737
O 3.533 7.368 6.307
O 3.767 7.393 3.777
O 3.685 2.318 7.475
O 4.221 0.693 1.433
O 4.802 4.840 3.121
O 4.737 0.703 5.266
O 5.910 2.466 1.034
O 5.951 4.992 0.599
O 6.422 0.109 3.455
O 6.879 7.758 0.319
O 6.808 7.981 5.853
O 6.895 1.927 5.229
```

Output
- formation energy without anion corrections (eV/atom) = -2.71
- volume (Å³ per cell) = 502.12

Entry 3:
Density functional theory data (meta-GGA SCAN) for a PBEsol-optimized structure of LiLuW2O8. Values from VASP.

Cell and atoms, written as Quantum ESPRESSO input:
```
&SYSTEM
  ibrav = 0, nat = 24, ntyp = 4
/
ATOMIC_SPECIES
Li 6.94 Li.upf
Lu 174.97 Lu.upf
W 183.84 W.upf
O 16.00 O.upf
CELL_PARAMETERS angstrom
4.959 0.000 0.000
0.000 5.798 0.000
-4.585 0.000 9.753
ATOMIC_POSITIONS angstrom
Li -1.146 1.241 2.438
Li -3.439 4.557 7.315
Lu -0.960 1.046 7.315
Lu 1.333 4.752 2.438
W 1.256 1.861 0.128
W -1.037 3.938 5.004
W 1.411 1.861 4.749
W -0.882 3.938 9.625
O -1.952 2.272 5.842
O 0.340 3.526 0.965
O 0.535 0.716 1.307
O -1.758 5.083 6.183
O -2.667 0.760 8.616
O -0.375 5.038 3.739
O -0.098 2.354 3.789
O -2.391 3.444 8.666
O 2.764 2.354 1.088
O 0.472 3.444 5.964
O 0.748 0.760 6.014
O 3.041 5.038 1.137
O 2.132 0.716 3.570
O -0.161 5.083 8.446
O 0.033 2.272 8.788
O 2.326 3.526 3.911
```

Output
- formation energy without anion corrections (eV/atom) = -2.73
- volume (Å³ per cell) = 280.44

Entry 4:
Density functional theory data (meta-GGA SCAN) for a PBEsol-optimized structure of HoP2H5O10. Values from VASP.

Cell and atoms, written as Quantum ESPRESSO input:
```
&SYSTEM
  ibrav = 0, nat = 36, ntyp = 4
/
ATOMIC_SPECIES
Ho 164.93 Ho.upf
P 30.97 P.upf
H 1.01 H.upf
O 16.00 O.upf
CELL_PARAMETERS angstrom
6.359 0.000 0.000
0.072 6.826 0.000
1.469 1.164 9.582
ATOMIC_POSITIONS angstrom
Ho 0.885 1.692 0.373
Ho 7.015 6.298 9.209
P 2.095 5.104 0.652
P 3.866 3.221 6.766
P 4.035 4.769 2.817
P 5.806 2.886 8.930
H 1.251 1.848 3.241
H 2.572 7.607 7.381
H 2.859 6.026 7.111
H 2.682 2.380 2.714
H 3.872 5.204 5.029
H 4.028 2.787 4.553
H 5.218 5.610 6.868
H 5.041 1.964 2.471
H 5.328 0.383 2.201
H 6.649 6.142 6.341
O 0.932 3.420 4.936
O 2.185 6.697 7.411
O 1.165 6.318 0.571
O 1.146 3.925 0.379
O 1.855 1.878 2.477
O 2.816 2.684 7.712
O 2.567 5.001 2.191
O 3.783 4.719 6.435
O 3.881 2.349 5.483
O 3.120 1.691 0.224
O 4.780 6.300 9.358
O 4.020 5.641 4.099
O 4.118 3.272 3.147
O 5.333 2.989 7.391
O 5.084 5.306 1.870
O 6.045 6.112 7.105
O 6.754 4.065 9.203
O 6.736 1.672 9.011
O 5.716 1.293 2.171
O 6.968 4.570 4.647
```

Output
- uncorrected energy (eV per atom) = -10.317
- volume (Å³ per cell) = 415.93

Entry 5:
Density functional theory data (meta-GGA SCAN) for a PBEsol-optimized structure of RbAsS2N. Values from VASP.

Cell and atoms, written as Quantum ESPRESSO input:
```
&SYSTEM
  ibrav = 0, nat = 5, ntyp = 4
/
ATOMIC_SPECIES
Rb 85.47 Rb.upf
As 74.92 As.upf
S 32.06 S.upf
N 14.01 N.upf
CELL_PARAMETERS angstrom
4.943 0.000 0.000
0.000 4.943 0.000
0.000 0.000 3.989
ATOMIC_POSITIONS angstrom
Rb 0.000 0.000 0.000
As 2.471 2.471 1.994
S 0.000 2.471 1.994
S 2.471 0.000 1.994
N 2.471 2.471 0.000
```

Output
- formation energy without anion corrections (eV/atom) = 0.34
- volume (Å³ per cell) = 97.45

Entry 6:
Density functional theory data (meta-GGA SCAN) for a PBEsol-optimized structure of InCoTeN2. Values from VASP.

Cell and atoms, written as Quantum ESPRESSO input:
```
&SYSTEM
  ibrav = 0, nat = 5, ntyp = 4
/
ATOMIC_SPECIES
In 114.82 In.upf
Co 58.93 Co.upf
Te 127.60 Te.upf
N 14.01 N.upf
CELL_PARAMETERS angstrom
3.882 0.000 0.000
0.000 3.882 0.000
0.000 0.000 5.199
ATOMIC_POSITIONS angstrom
In 0.000 0.000 0.000
Co 1.941 1.941 2.599
Te 1.941 1.941 0.000
N 0.000 1.941 2.599
N 1.941 0.000 2.599
```

Output
- formation energy without anion corrections (eV/atom) = 0.97
- volume (Å³ per cell) = 78.35